{"formula": "KSbMo2O8", "functional": "PBE+U", "state": "relaxed", "density_g_cm3": 3.35, "n_ef_per_ev_fu": 0.0, "space_group": "No. 164", "de_polymorph_kj_per_mol_atoms": 2.90, "lattice": [[6.0202, 0.0000, 0.0000], [-3.0101, 5.2137, 0.0000], [0.0000, 0.0000, 7.6006]], "species": ["K", "Sb", "Mo", "Mo", "O", "O", "O", "O", "O", "O", "O", "O"], "fractional_positions": [[0.0000, 0.0000, 0.0000], [0.0000, 0.0000, 0.5000], [0.6667, 0.3333, 0.2376], [0.3333, 0.6667, 0.7624], [0.3333, 0.6667, 0.9922], [0.3349, 0.1676, 0.3118], [0.8324, 0.1673, 0.3118], [0.6667, 0.3333, 0.0078], [0.1676, 0.8327, 0.6882], [0.6651, 0.8324, 0.6882], [0.1673, 0.3349, 0.6882], [0.8327, 0.6651, 0.3118]]}